(1)
Entry from Alexandria via LeMat-Bulk: Hf6Zr4Sc19 after structural relaxation (GGA-PBE).

```
Hf6Zr4Sc19
1.0
8.111 0.000 0.000
-3.409 9.616 0.000
-3.726 -3.920 8.855
Hf Zr Sc
6 4 19
Direct
0.000 0.000 0.000 Hf
0.017 0.721 0.848 Hf
0.068 0.691 0.562 Hf
0.143 0.333 0.184 Hf
0.461 0.842 0.064 Hf
0.636 0.699 0.261 Hf
0.113 0.168 0.636 Zr
0.179 0.835 0.203 Zr
0.545 0.555 0.648 Zr
0.737 0.146 0.063 Zr
0.000 0.349 0.422 Sc
0.114 0.531 0.016 Sc
0.256 0.530 0.775 Sc
0.289 0.014 0.845 Sc
0.339 0.230 0.442 Sc
0.343 0.988 0.559 Sc
0.346 0.667 0.408 Sc
0.368 0.356 0.009 Sc
0.457 0.141 0.196 Sc
0.533 0.847 0.779 Sc
0.584 0.326 0.820 Sc
0.620 0.478 0.387 Sc
0.650 0.025 0.425 Sc
0.723 0.687 0.992 Sc
0.807 0.383 0.634 Sc
0.822 0.849 0.620 Sc
0.862 0.169 0.811 Sc
0.868 0.512 0.203 Sc
0.923 0.991 0.277 Sc
```

Properties
Its density of states at the Fermi level is 43.81 states/eV per cell. The formation energy comes out at 2.77 eV/f.u. The crystal system is triclinic.

(2)
Entry from Alexandria via LeMat-Bulk: In4Pd3Ru after structural relaxation (GGA-PBE).

```
In4Pd3Ru
1.0
3.286 0.000 0.000
0.000 3.286 0.000
0.000 0.000 13.083
In Pd Ru
4 3 1
Direct
0.000 0.000 0.120 In
0.000 0.000 0.374 In
0.000 0.000 0.626 In
0.000 0.000 0.880 In
0.500 0.500 0.246 Pd
0.500 0.500 0.500 Pd
0.500 0.500 0.754 Pd
0.500 0.500 0.000 Ru
```

Properties
Its density of states at the Fermi level is 3.07 states/eV per cell. The formation energy comes out at -2.88 eV/f.u. The crystal system is tetragonal.

(3)
Entry from Alexandria via LeMat-Bulk: Y6Ho12Tl after structural relaxation (GGA-PBE).

```
Y6Ho12Tl
1.0
5.911 3.412 4.961
-5.911 3.412 4.961
0.000 -6.825 4.961
Y Ho Tl
6 12 1
Direct
0.201 0.595 0.759 Y
0.241 0.799 0.405 Y
0.405 0.241 0.799 Y
0.595 0.759 0.201 Y
0.759 0.201 0.595 Y
0.799 0.405 0.241 Y
0.040 0.278 0.933 Ho
0.067 0.960 0.722 Ho
0.139 0.312 0.487 Ho
0.278 0.933 0.040 Ho
0.312 0.487 0.139 Ho
0.487 0.139 0.312 Ho
0.513 0.861 0.688 Ho
0.688 0.513 0.861 Ho
0.722 0.067 0.960 Ho
0.861 0.688 0.513 Ho
0.933 0.040 0.278 Ho
0.960 0.722 0.067 Ho
0.500 0.500 0.500 Tl
```

Properties
Its density of states at the Fermi level is 28.78 states/eV per cell. The formation energy comes out at 1.84 eV/f.u. The crystal system is trigonal.

(4)
Entry from Alexandria via LeMat-Bulk: ZrZnPb4 after structural relaxation (GGA-PBE).

```
ZrZnPb4
1.0
0.000 4.455 4.455
4.455 0.000 4.455
4.455 4.455 0.000
Zr Zn Pb
1 1 4
Direct
0.000 0.000 0.000 Zr
0.250 0.250 0.250 Zn
0.123 0.626 0.626 Pb
0.626 0.123 0.626 Pb
0.626 0.626 0.123 Pb
0.626 0.626 0.626 Pb
```

Properties
Its density of states at the Fermi level is 5.38 states/eV per cell. The formation energy comes out at 2.88 eV/f.u. The crystal system is cubic.

(5)
Entry from Alexandria via LeMat-Bulk: TlFe2Co after structural relaxation (GGA-PBE).

```
TlFe2Co
1.0
3.778 0.000 0.000
0.000 3.778 0.000
0.000 0.000 7.937
Tl Fe Co
2 4 2
Direct
0.000 0.000 0.000 Tl
0.500 0.500 0.500 Tl
0.000 0.500 0.250 Fe
0.000 0.500 0.750 Fe
0.500 0.000 0.250 Fe
0.500 0.000 0.750 Fe
0.000 0.000 0.500 Co
0.500 0.500 0.000 Co
```

Properties
Its density of states at the Fermi level is 7.41 states/eV per cell. The formation energy comes out at 1.68 eV/f.u. The crystal system is tetragonal.

(6)
Entry from Alexandria via LeMat-Bulk: LaMoN3 after structural relaxation (GGA-PBE).

```
LaMoN3
1.0
3.621 0.000 0.000
-0.131 6.097 0.000
-0.893 -2.591 6.095
La Mo N
2 2 6
Direct
0.000 0.000 0.000 La
0.341 0.668 0.452 La
0.462 0.465 0.820 Mo
0.876 0.173 0.539 Mo
0.362 0.247 0.426 N
0.433 0.095 0.742 N
0.580 0.701 0.109 N
0.586 0.252 0.278 N
0.822 0.823 0.288 N
0.942 0.566 0.715 N
```

Properties
The raw total energy is -8.720 eV/atom. Its density of states at the Fermi level is 0.00 states/eV per cell. The crystal system is triclinic.

(7)
Entry from Alexandria via LeMat-Bulk: SrIr4Au after structural relaxation (GGA-PBE).

```
SrIr4Au
1.0
0.000 3.787 3.787
3.787 0.000 3.787
3.787 3.787 0.000
Sr Ir Au
1 4 1
Direct
0.000 0.000 0.000 Sr
0.375 0.375 0.375 Ir
0.375 0.375 0.875 Ir
0.375 0.875 0.375 Ir
0.875 0.375 0.375 Ir
0.750 0.750 0.750 Au
```

Properties
Its density of states at the Fermi level is 11.44 states/eV per cell. The formation energy comes out at 1.00 eV/f.u. The crystal system is cubic.

(8)
Entry from Alexandria via LeMat-Bulk: NaCuSeN2 after structural relaxation (GGA-PBE).

```
NaCuSeN2
1.0
3.884 0.000 0.000
0.000 3.884 0.000
0.000 0.000 4.987
Na Cu Se N
1 1 1 2
Direct
0.000 0.000 0.000 Na
0.500 0.500 0.500 Cu
0.500 0.500 0.000 Se
0.000 0.500 0.500 N
0.500 0.000 0.500 N
```

Properties
The calculation puts the offset from the most stable computed form at 0.000 eV/f.u. Its density of states at the Fermi level is 7.64 states/eV per cell. The crystal system is tetragonal.

(9)
Entry from Alexandria via LeMat-Bulk: Ba2SrCd2Ge2 after structural relaxation (GGA-PBE).

```
Ba2SrCd2Ge2
1.0
2.346 1.354 13.276
-2.346 1.354 13.276
0.000 -2.708 13.276
Ba Sr Cd Ge
2 1 2 2
Direct
0.115 0.115 0.115 Ba
0.885 0.885 0.885 Ba
0.000 0.000 0.000 Sr
0.388 0.388 0.388 Cd
0.612 0.612 0.612 Cd
0.275 0.275 0.275 Ge
0.725 0.725 0.725 Ge
```

Properties
Its density of states at the Fermi level is 4.12 states/eV per cell. The formation energy comes out at -2.75 eV/f.u. The crystal system is trigonal.

(10)
Entry from Alexandria via LeMat-Bulk: TlCr2Os after structural relaxation (GGA-PBE).

```
TlCr2Os
1.0
2.831 0.000 0.000
0.000 3.703 0.000
0.000 0.000 5.935
Tl Cr Os
1 2 1
Direct
0.000 0.000 0.000 Tl
0.000 0.000 0.486 Cr
0.500 0.500 0.294 Cr
0.500 0.500 0.676 Os
```

Properties
The calculation puts the offset from the most stable computed form at 0.502 eV/f.u. Its density of states at the Fermi level is 3.95 states/eV per cell. The formation energy comes out at 2.43 eV/f.u. The crystal system is orthorhombic.

(11)
Entry from Alexandria via LeMat-Bulk: AcNd2Zr after structural relaxation (GGA-PBE).

```
AcNd2Zr
1.0
5.074 0.000 0.000
0.000 5.074 0.000
0.000 0.000 5.160
Ac Nd Zr
1 2 1
Direct
0.000 0.000 0.000 Ac
0.000 0.500 0.500 Nd
0.500 0.000 0.500 Nd
0.500 0.500 0.000 Zr
```

Properties
The calculation puts the offset from the most stable computed form at 0.000 eV/f.u. Its density of states at the Fermi level is 4.91 states/eV per cell. The formation energy comes out at 0.72 eV/f.u. The crystal system is tetragonal.

(12)
Entry from Alexandria via LeMat-Bulk: Li3FeCo after structural relaxation (GGA-PBE).

```
Li3FeCo
1.0
4.298 0.000 0.000
0.000 4.298 0.000
0.000 0.000 4.298
Li Fe Co
3 1 1
Direct
0.000 0.000 0.500 Li
0.000 0.500 0.000 Li
0.500 0.000 0.000 Li
0.500 0.500 0.500 Fe
0.000 0.000 0.000 Co
```

Properties
Its density of states at the Fermi level is 10.01 states/eV per cell. The formation energy comes out at 6.40 eV/f.u. The crystal system is cubic.